No. 1
Entry from Alexandria via LeMat-Bulk: a relaxed NaCuB crystal (PBE-GGA). Values from VASP.

The structure in Quantum ESPRESSO input format:
```
&SYSTEM
  ibrav = 0, nat = 6, ntyp = 3
/
ATOMIC_SPECIES
B 10.81 B.upf
Na 22.99 Na.upf
Cu 63.55 Cu.upf
ATOMIC_POSITIONS angstrom
B -3.6318 -1.8010 1.6260
Na -0.9033 -3.5991 4.0652
B -0.8208 -4.0391 1.4457
Na -2.9807 -1.9451 4.1985
Cu -2.9678 -3.8680 1.7434
Cu -1.4658 -1.9709 1.6118
CELL_PARAMETERS angstrom
-4.0185 -0.8508 0.2238
0.0785 -4.1127 -0.0390
-0.5504 -1.0974 5.0400
```

- DFT total energy (eV/atom) = -3.785
- spin magnetization (μB/atom) = 0.000
- space group = Cm, No. 8
- N(E_F) (states/eV per cell) = 2.3



No. 2
Entry from Alexandria via LeMat-Bulk: a relaxed AgHg2Ru crystal (PBE-GGA). Values from VASP.

The structure in Quantum ESPRESSO input format:
```
&SYSTEM
  ibrav = 0, nat = 4, ntyp = 3
/
ATOMIC_SPECIES
Hg 200.59 Hg.upf
Ru 101.07 Ru.upf
Ag 107.87 Ag.upf
ATOMIC_POSITIONS angstrom
Hg 0.7291 -2.6778 -1.1241
Hg -0.7280 -4.0532 1.0656
Ru -2.0451 -2.0329 -0.5435
Ag -2.8068 -6.1174 0.5728
CELL_PARAMETERS angstrom
-3.3286 0.0186 -2.2032
0.7628 -2.6465 -1.1748
-2.2862 -5.5225 3.4073
```

- DFT total energy (eV/atom) = -2.760
- spin magnetization (μB/atom) = 0.233
- space group = P2/m, No. 10
- N(E_F) (states/eV per cell) = 2.7



No. 3
Entry from Alexandria via LeMat-Bulk: a relaxed La2Ce3HoP6 crystal (PBE-GGA). Values from VASP.

The structure in Quantum ESPRESSO input format:
```
&SYSTEM
  ibrav = 0, nat = 12, ntyp = 4
/
ATOMIC_SPECIES
P 30.97 P.upf
Ce 140.12 Ce.upf
La 138.91 La.upf
Ho 164.93 Ho.upf
ATOMIC_POSITIONS angstrom
P 2.4204 4.1909 1.7406
Ce 1.1931 2.0659 3.3751
P 0.0634 4.1337 5.0190
P 3.5488 2.1208 5.0190
La 3.5755 2.0701 -0.0002
Ho 0.0000 0.0000 0.0000
Ce -2.3737 4.1259 3.3751
P -0.0342 -0.0592 5.0095
La 0.0061 4.1315 -0.0002
P -1.1626 2.0110 1.7311
Ce 4.7599 0.0059 3.3751
P 2.3229 -0.0020 1.7311
CELL_PARAMETERS angstrom
7.1617 -0.0011 -0.0002
-3.5800 6.2027 -0.0002
-1.1954 -2.0698 6.7506
```

- DFT total energy (eV/atom) = -6.923
- spin magnetization (μB/atom) = 0.132
- space group = C2/m, No. 12
- N(E_F) (states/eV per cell) = 14.3



No. 4
Entry from Alexandria via LeMat-Bulk: a relaxed ScMn2Pd9 crystal (PBE-GGA). Values from VASP.

The structure in Quantum ESPRESSO input format:
```
&SYSTEM
  ibrav = 0, nat = 12, ntyp = 3
/
ATOMIC_SPECIES
Pd 106.42 Pd.upf
Mn 54.94 Mn.upf
Sc 44.96 Sc.upf
ATOMIC_POSITIONS angstrom
Pd 1.9773 1.9773 7.8646
Pd 1.9773 0.0000 9.8018
Mn 0.0000 0.0000 3.9921
Sc 0.0000 0.0000 0.0000
Mn 0.0000 0.0000 7.8388
Pd 0.0000 1.9773 5.9154
Pd 0.0000 1.9773 2.0291
Pd 0.0000 1.9773 9.8018
Pd 1.9773 0.0000 2.0291
Pd 1.9773 0.0000 5.9154
Pd 1.9773 1.9773 0.0000
Pd 1.9773 1.9773 3.9663
CELL_PARAMETERS angstrom
3.9546 0.0000 0.0000
0.0000 3.9546 0.0000
0.0000 0.0000 11.8309
```

- DFT total energy (eV/atom) = -6.373
- spin magnetization (μB/atom) = 0.699
- space group = P4/mmm, No. 123
- N(E_F) (states/eV per cell) = 14.1



No. 5
Entry from Alexandria via LeMat-Bulk: a relaxed TlPPd2 crystal (PBE-GGA). Values from VASP.

The structure in Quantum ESPRESSO input format:
```
&SYSTEM
  ibrav = 0, nat = 4, ntyp = 3
/
ATOMIC_SPECIES
P 30.97 P.upf
Pd 106.42 Pd.upf
Tl 204.38 Tl.upf
ATOMIC_POSITIONS angstrom
P 0.0000 0.0000 0.0000
Pd 1.9725 1.1388 0.8121
Tl 3.9449 2.2776 2.9662
Pd 5.9174 3.4164 5.1203
CELL_PARAMETERS angstrom
3.9449 0.0000 0.0000
1.9725 3.4164 0.0000
1.9725 1.1388 5.9324
```

- DFT total energy (eV/atom) = -4.709
- spin magnetization (μB/atom) = 0.000
- space group = R-3m, No. 166
- N(E_F) (states/eV per cell) = 2.5



No. 6
Entry from Alexandria via LeMat-Bulk: a relaxed NaGaSi2S crystal (PBE-GGA). Values from VASP.

The structure in Quantum ESPRESSO input format:
```
&SYSTEM
  ibrav = 0, nat = 5, ntyp = 4
/
ATOMIC_SPECIES
S 32.06 S.upf
Si 28.09 Si.upf
Ga 69.72 Ga.upf
Na 22.99 Na.upf
ATOMIC_POSITIONS angstrom
S -1.0120 -0.8759 2.1966
Si -1.1661 2.0776 0.2912
Ga 0.0000 0.0000 0.0000
Na -4.0514 0.3205 1.2734
Si -1.8734 -0.8812 -1.2144
CELL_PARAMETERS angstrom
-3.7467 -1.7625 -2.4289
-2.0239 -1.7517 4.3932
-2.3322 4.1552 0.5824
```

- DFT total energy (eV/atom) = -3.352
- spin magnetization (μB/atom) = 0.000
- uncorrected formation energy (eV/f.u.) = 2.557
- space group = P4/mmm, No. 123
- N(E_F) (states/eV per cell) = 3.7



No. 7
Entry from Alexandria via LeMat-Bulk: a relaxed BeVAu crystal (PBE-GGA). Values from VASP.

The structure in Quantum ESPRESSO input format:
```
&SYSTEM
  ibrav = 0, nat = 3, ntyp = 3
/
ATOMIC_SPECIES
Be 9.01 Be.upf
V 50.94 V.upf
Au 196.97 Au.upf
ATOMIC_POSITIONS angstrom
Be 1.4438 1.4438 1.4438
V 2.8875 2.8875 2.8875
Au 4.3313 4.3313 4.3313
CELL_PARAMETERS angstrom
0.0000 2.8875 2.8875
2.8875 0.0000 2.8875
2.8875 2.8875 0.0000
```

- DFT total energy (eV/atom) = -4.747
- spin magnetization (μB/atom) = 0.000
- space group = F-43m, No. 216
- N(E_F) (states/eV per cell) = 1.2



No. 8
Entry from Alexandria via LeMat-Bulk: a relaxed FeSiIr crystal (PBE-GGA). Values from VASP.

The structure in Quantum ESPRESSO input format:
```
&SYSTEM
  ibrav = 0, nat = 3, ntyp = 3
/
ATOMIC_SPECIES
Ir 192.22 Ir.upf
Fe 55.84 Fe.upf
Si 28.09 Si.upf
ATOMIC_POSITIONS angstrom
Ir 6.0558 3.4963 2.4723
Fe 4.0372 2.3309 1.6482
Si 0.0000 0.0000 0.0000
CELL_PARAMETERS angstrom
4.0372 0.0000 0.0000
2.0186 3.4963 0.0000
2.0186 1.1654 3.2963
```

- DFT total energy (eV/atom) = -7.858
- spin magnetization (μB/atom) = 0.976
- uncorrected formation energy (eV/f.u.) = -0.829
- space group = F-43m, No. 216
- N(E_F) (states/eV per cell) = 0.8